Density functional theory data (GGA-PBE) for a relaxed SiPt2Se crystal.

```
SiPt2Se
1.0
3.510 0.000 0.000
0.000 3.510 0.000
0.000 0.000 5.472
Pt Se Si
2 1 1
Direct
0.000 0.000 0.958
0.500 0.500 0.280
0.000 0.000 0.436
0.500 0.500 0.825
```

Properties
Its total energy is -5.37 eV per atom. Its energy above the most stable polymorph in this dataset is 190 meV per atom. As for the raw formation energy: -48 kJ/mol of formula units. The magnetic moment is 0.000 μB per formula unit. The space group is P4mm, No. 99.